Entry 1:
SrAl2Cr | PBE | relaxed

a = 5.000 Å, b = 5.000 Å, c = 4.994 Å
α = 120.15°, β = 120.16°, γ = 89.85°
Positions (direct):
Al  0.999  0.001  0.000
Sr  0.750  0.250  0.500
Al  0.250  0.750  0.500
Cr  0.500  0.500  0.000

Computed properties:
The calculation puts the total magnetic moment at 4.75 μB/cell. As for the volume: 88.0 Å³/f.u. For the formation energy, the calculation gives 0.35 eV per atom.

***

Entry 2:
Pr3Y2Th | PBE | relaxed

a = 6.614 Å, b = 8.197 Å, c = 8.197 Å
α = 71.14°, β = 90.00°, γ = 90.00°
Positions (direct):
Pr  0.320  0.914  0.914
Th  0.302  0.172  0.172
Pr  0.592  0.138  0.505
Th  0.802  0.828  0.828
Y  0.577  0.756  0.394
Y  0.077  0.244  0.606
Y  0.077  0.606  0.244
Y  0.577  0.394  0.756
Pr  0.092  0.495  0.862
Pr  0.092  0.862  0.495
Pr  0.592  0.505  0.138
Pr  0.820  0.086  0.086

Computed properties:
The calculation puts the total magnetic moment at 0.00 μB/cell. As for the volume: 210.2 Å³/f.u. For the formation energy, the calculation gives 0.24 eV per atom.

***

Entry 3:
Ac6Ir2PtCl3 | PBE | relaxed

a = 7.578 Å, b = 7.578 Å, c = 8.345 Å
α = 98.65°, β = 98.65°, γ = 120.04°
Positions (direct):
Ac  0.067  0.408  0.202
Ir  0.666  0.334  0.000
Ac  0.274  0.274  0.798
Ac  0.592  0.933  0.798
Ac  0.726  0.726  0.202
Ir  0.334  0.666  0.000
Pt  0.000  0.000  0.000
Ac  0.408  0.067  0.202
Ac  0.933  0.592  0.798
Cl  0.500  0.500  0.500
Cl  0.828  0.172  0.500
Cl  0.172  0.828  0.500

Computed properties:
The calculation puts the total magnetic moment at 0.00 μB/cell. The formation energy without anion corrections comes out at -16.19 eV/f.u. As for the volume: 395.6 Å³/f.u.

***

Entry 4:
BaLi2US4 | PBE | relaxed

a = 5.548 Å, b = 5.541 Å, c = 7.958 Å
α = 110.49°, β = 110.40°, γ = 90.00°
Positions (direct):
Li  0.000  0.000  0.000
S  0.559  0.059  0.119
U  0.750  0.251  0.500
S  0.744  0.744  0.488
S  0.941  0.441  0.882
Li  0.250  0.750  0.500
S  0.256  0.256  0.512
Ba  0.500  0.499  0.000

Computed properties:
The calculation puts the total magnetic moment at 2.00 μB/cell. The formation energy without anion corrections comes out at -11.30 eV/f.u. As for the volume: 212.7 Å³/f.u.

***

For the records above, the corresponding Fermi-level density of states values read 2.2 20.1 5.0 5.7 states/eV per cell.